A plane-wave DFT calculation with PBE was carried out for a relaxed HfTiN crystal.

The value obtained for the total energy is -29.64 eV/f.u. The uncorrected formation energy comes out at -1.16 eV/atom. Its volume is 42 Å³/f.u. Its energy relative to the lowest polymorph listed for this composition is 95.4 meV per atom. The value obtained for the theoretical density is 9.4 g cm⁻³.

The space group is Pnma (No. 62) and the conventional cell measures 12.1098, 4.5325 and 3.0796 Å, with angles of 90.00, 90.00 and 90.00 degrees. The asymmetric unit holds Hf at (0.0679, 0.2500, 0.0424), Ti at (0.1905, 0.7500, 0.5360) and N at (0.1916, 0.2500, 0.5397).